The following is a PBE calculation of a geometry-optimized Zr4ZnBi structure, from Alexandria via LeMat-Bulk.

```
Zr4ZnBi
1.0
5.889 0.000 0.000
0.000 6.760 0.000
0.000 0.000 6.760
Zr Zn Bi
8 2 2
Cartesian
0.000 1.119 4.309
0.000 5.642 2.451
0.000 2.451 1.119
0.000 4.309 5.642
2.944 5.642 4.309
2.944 1.119 2.451
2.944 4.309 1.119
2.944 2.451 5.642
1.472 3.380 3.380
4.417 3.380 3.380
1.472 0.000 0.000
4.417 0.000 0.000
```

The total moment is 0.00 Bohr magnetons per cell. As for the calculated total energy: -80.83 eV per cell. As for the space group: P4/mcc, No. 124. The calculation puts the formation enthalpy at 0 K at -103 kJ/mol of formula units.